AcLaPb after structural relaxation. Source: the Alexandria database, functional PBE.

It has space group P3m1 (No. 156), with a = 5.5269 Å, b = 5.5269 Å, c = 4.1483 Å, α = 90.00°, β = 90.00° and γ = 120.00°. The asymmetric unit holds Ac at (0.0000, 0.0000, 0.0000), La at (0.6667, 0.3333, 0.4360) and Pb at (0.3333, 0.6667, 0.6616).

The value obtained for the electronic total energy is -4.4946 eV/atom. As for the energy relative to the lowest polymorph listed for this composition: 210 meV/atom. Its energy of formation is -0.2465 eV/atom. For the size of the total moment, the calculation gives 0.000 μB per formula unit.

Ba2TaBeTc after structural relaxation. Source: the Alexandria database, functional PBE.

It has space group P4/mmm (No. 123), with a = 5.8007 Å, b = 5.8007 Å, c = 4.3264 Å, α = 90.00°, β = 90.00° and γ = 90.00°. The asymmetric unit holds Ba at (0.0000, 0.5000, 0.0000), Ta at (0.0000, 0.0000, 0.5000), Be at (0.5000, 0.5000, 0.5000) and Tc at (0.5000, 0.5000, 0.0000).

The value obtained for the electronic total energy is -4.3680 eV/atom. Its energy of formation is 1.5900 eV/atom. For the size of the total moment, the calculation gives 0.182 μB per formula unit.

CaNd12Er6 after structural relaxation. Source: the Alexandria database, functional PBE.

It has space group R-3m (No. 166, hexagonal axes), with a = 15.3658 Å, b = 15.3658 Å, c = 10.2289 Å, α = 90.00°, β = 90.00° and γ = 120.00°. The asymmetric unit holds Ca at (0.0000, 0.0000, 0.0000), Nd at (0.0000, 0.3884, 0.5000), Nd at (0.0722, 0.1444, 0.3031) and Er at (0.0499, 0.5250, 0.2120).

The value obtained for the electronic total energy is -4.1600 eV/atom. Its energy of formation is 0.3975 eV/atom. For the size of the total moment, the calculation gives 0.000 μB per formula unit.

MnCr2W after structural relaxation. Source: the Alexandria database, functional PBE.

It has space group P2/m (No. 10), with a = 2.5852 Å, b = 4.1348 Å, c = 4.8559 Å, α = 90.00°, β = 100.37° and γ = 90.00°. The asymmetric unit holds Mn at (0.0000, 0.0000, 0.0000), Cr at (0.2643, 0.5000, 0.7628) and W at (0.5000, 0.0000, 0.5000).

The value obtained for the electronic total energy is -10.2188 eV/atom. As for the energy relative to the lowest polymorph listed for this composition: 44 meV/atom. Its energy of formation is 0.1236 eV/atom. For the size of the total moment, the calculation gives 0.855 μB per formula unit.

Te2HPdN after structural relaxation. Source: the Alexandria database, functional PBE.

It has space group P4/mmm (No. 123), with a = 5.6050 Å, b = 5.6050 Å, c = 3.6462 Å, α = 90.00°, β = 90.00° and γ = 90.00°. The asymmetric unit holds Te at (0.0000, 0.5000, 0.0000), H at (0.0000, 0.0000, 0.5000), Pd at (0.5000, 0.5000, 0.0000) and N at (0.5000, 0.5000, 0.5000).

The value obtained for the electronic total energy is -3.5066 eV/atom. As for the energy relative to the lowest polymorph listed for this composition: 314 meV/atom. For the size of the total moment, the calculation gives 0.589 μB per formula unit.

TbDyHo2Sc4 after structural relaxation. Source: the Alexandria database, functional PBE.

It has space group P4/mmm (No. 123), with a = 4.8817 Å, b = 4.8817 Å, c = 9.3096 Å, α = 90.00°, β = 90.00° and γ = 90.00°. The asymmetric unit holds Tb at (0.0000, 0.0000, 0.0000), Dy at (0.5000, 0.5000, 0.5000), Ho at (0.0000, 0.0000, 0.5000), Ho at (0.5000, 0.5000, 0.0000) and Sc at (0.0000, 0.5000, 0.2502).

The value obtained for the electronic total energy is -5.4130 eV/atom. Its energy of formation is 0.0513 eV/atom. For the size of the total moment, the calculation gives 0.002 μB per formula unit.

Tb2YZn6 after structural relaxation. Source: the Alexandria database, functional PBE.

It has space group P6/mmm (No. 191), with a = 7.7603 Å, b = 7.7603 Å, c = 3.5269 Å, α = 90.00°, β = 90.00° and γ = 120.00°. The asymmetric unit holds Tb at (0.3333, 0.6667, 0.0000), Y at (0.0000, 0.0000, 0.0000) and Zn at (0.0000, 0.3332, 0.5000).

The value obtained for the electronic total energy is -2.9832 eV/atom. Its energy of formation is -0.3867 eV/atom. For the size of the total moment, the calculation gives 0.000 μB per formula unit.

Rb3V2Cl7 after structural relaxation. Source: the Alexandria database, functional PBE.

It has space group I4/mmm (No. 139), with a = 5.0190 Å, b = 5.0190 Å, c = 26.2949 Å, α = 90.00°, β = 90.00° and γ = 90.00°. The asymmetric unit holds Rb at (0.0000, 0.0000, 0.0000), Rb at (0.0000, 0.0000, 0.1819), V at (0.0000, 0.0000, 0.4024), Cl at (0.0000, 0.0000, 0.3086), Cl at (0.0000, 0.0000, 0.5000) and Cl at (0.0000, 0.5000, 0.0938).

The value obtained for the electronic total energy is -4.3710 eV/atom. For the formation energy from raw total energies, the calculation gives -18.39 eV per formula unit. For the size of the total moment, the calculation gives 6.000 μB per formula unit.

Sm5Y5Tm2 after structural relaxation. Source: the Alexandria database, functional PBE.

It has space group C2/m (No. 12), with a = 15.1775 Å, b = 5.0694 Å, c = 11.3224 Å, α = 90.00°, β = 116.57° and γ = 90.00°. The asymmetric unit holds Sm at (0.0000, 0.0000, 0.0000), Sm at (0.0822, 0.0000, 0.7498), Sm at (0.1666, 0.0000, 0.4996), Y at (0.0000, 0.5000, 0.5000), Y at (0.1663, 0.5000, 0.0004), Y at (0.2485, 0.0000, 0.2488) and Tm at (0.0835, 0.5000, 0.2503).

The value obtained for the electronic total energy is -5.3857 eV/atom. As for the energy relative to the lowest polymorph listed for this composition: 0 meV/atom. Its energy of formation is 0.0193 eV/atom. For the size of the total moment, the calculation gives 0.000 μB per formula unit.

SrCdCo2 after structural relaxation. Source: the Alexandria database, functional PBE.

It has space group R-3m (No. 166, hexagonal axes), with a = 3.2176 Å, b = 3.2176 Å, c = 26.4439 Å, α = 90.00°, β = 90.00° and γ = 120.00°. The asymmetric unit holds Sr at (0.0000, 0.0000, 0.0000), Cd at (0.0000, 0.0000, 0.5000) and Co at (0.0000, 0.0000, 0.2423).

The value obtained for the electronic total energy is -3.3341 eV/atom. Its energy of formation is 0.8680 eV/atom. For the size of the total moment, the calculation gives 2.657 μB per formula unit.

BaAl3Ge after structural relaxation. Source: the Alexandria database, functional PBE.

It has space group Cm (No. 8), with a = 6.4826 Å, b = 6.4776 Å, c = 6.4160 Å, α = 90.00°, β = 119.93° and γ = 90.00°. The asymmetric unit holds Ba at (0.0000, 0.0000, 0.0000), Al at (0.3724, 0.0000, 0.7477), Al at (0.4992, 0.2495, 0.4973) and Ge at (0.1194, 0.5000, 0.2359).

The value obtained for the electronic total energy is -3.8307 eV/atom. As for the energy relative to the lowest polymorph listed for this composition: 0 meV/atom. Its energy of formation is -0.2772 eV/atom. For the size of the total moment, the calculation gives 0.000 μB per formula unit.

In2AsCl after structural relaxation. Source: the Alexandria database, functional PBE.

It has space group P4mm (No. 99), with a = 3.6024 Å, b = 3.6024 Å, c = 9.0469 Å, α = 90.00°, β = 90.00° and γ = 90.00°. The asymmetric unit holds In at (0.0000, 0.0000, 0.0000), In at (0.5000, 0.5000, 0.3275), As at (0.0000, 0.0000, 0.4655) and Cl at (0.5000, 0.5000, 0.8335).

The value obtained for the electronic total energy is -3.1136 eV/atom. As for the energy relative to the lowest polymorph listed for this composition: 257 meV/atom. For the formation energy from raw total energies, the calculation gives -0.48 eV per formula unit. For the size of the total moment, the calculation gives 0.000 μB per formula unit.

LiCo2P after structural relaxation. Source: the Alexandria database, functional PBE.

It has space group I-4m2 (No. 119), with a = 3.3798 Å, b = 3.3798 Å, c = 7.2596 Å, α = 90.00°, β = 90.00° and γ = 90.00°. The asymmetric unit holds Li at (0.0000, 0.0000, 0.0000), Co at (0.0000, 0.0000, 0.5000), Co at (0.0000, 0.5000, 0.2500) and P at (0.0000, 0.5000, 0.7500).

The value obtained for the electronic total energy is -5.5761 eV/atom. Its energy of formation is -0.1923 eV/atom. For the size of the total moment, the calculation gives 1.238 μB per formula unit.

LiSb2Pt9 after structural relaxation. Source: the Alexandria database, functional PBE.

It has space group P4/mmm (No. 123), with a = 4.0115 Å, b = 4.0115 Å, c = 12.1072 Å, α = 90.00°, β = 90.00° and γ = 90.00°. The asymmetric unit holds Li at (0.0000, 0.0000, 0.0000), Sb at (0.0000, 0.0000, 0.3154), Pt at (0.0000, 0.5000, 0.1558), Pt at (0.0000, 0.5000, 0.5000), Pt at (0.5000, 0.5000, 0.0000) and Pt at (0.5000, 0.5000, 0.3344).

The value obtained for the electronic total energy is -5.6720 eV/atom. For the formation energy from raw total energies, the calculation gives -3.54 eV per formula unit. For the size of the total moment, the calculation gives 0.000 μB per formula unit.

LiHgPb2 after structural relaxation. Source: the Alexandria database, functional PBE.

It has space group P4/mmm (No. 123), with a = 4.8143 Å, b = 4.8143 Å, c = 4.4618 Å, α = 90.00°, β = 90.00° and γ = 90.00°. The asymmetric unit holds Li at (0.0000, 0.0000, 0.0000), Hg at (0.5000, 0.5000, 0.0000) and Pb at (0.0000, 0.5000, 0.5000).

The value obtained for the electronic total energy is -2.5188 eV/atom. Its energy of formation is -0.1107 eV/atom. For the size of the total moment, the calculation gives 0.000 μB per formula unit.

AcCdAu after structural relaxation. Source: the Alexandria database, functional PBE.

It has space group P-62m (No. 189), with a = 8.2360 Å, b = 8.2360 Å, c = 4.2279 Å, α = 90.00°, β = 90.00° and γ = 120.00°. The asymmetric unit holds Ac at (0.0000, 0.5923, 0.0000), Cd at (0.0000, 0.2488, 0.5000), Au at (0.0000, 0.0000, 0.0000) and Au at (0.3333, 0.6667, 0.5000).

The value obtained for the electronic total energy is -3.4212 eV/atom. As for the energy relative to the lowest polymorph listed for this composition: 0 meV/atom. Its energy of formation is -0.6542 eV/atom. For the size of the total moment, the calculation gives 0.000 μB per formula unit.

RbAsAu3 after structural relaxation. Source: the Alexandria database, functional PBE.

It has space group Pm-3m (No. 221), with a = 5.1567 Å, b = 5.1567 Å, c = 5.1567 Å, α = 90.00°, β = 90.00° and γ = 90.00°. The asymmetric unit holds Rb at (0.0000, 0.0000, 0.0000), As at (0.5000, 0.5000, 0.5000) and Au at (0.0000, 0.5000, 0.5000).

The value obtained for the electronic total energy is -3.2006 eV/atom. As for the energy relative to the lowest polymorph listed for this composition: 7 meV/atom. Its energy of formation is -0.1108 eV/atom. For the size of the total moment, the calculation gives 0.000 μB per formula unit.

Pa2Al5Au3 after structural relaxation. Source: the Alexandria database, functional PBE.

It has space group Ibam (No. 72), with a = 10.6246 Å, b = 12.0284 Å, c = 6.1334 Å, α = 90.00°, β = 90.00° and γ = 90.00°. The asymmetric unit holds Pa at (0.2366, 0.1329, 0.0000), Al at (0.0000, 0.0000, 0.2500), Al at (0.0000, 0.2638, 0.2500), Al at (0.1472, 0.3862, 0.0000), Au at (0.0000, 0.5000, 0.2500) and Au at (0.1223, 0.1303, 0.5000).

The value obtained for the electronic total energy is -5.1729 eV/atom. Its energy of formation is -0.4192 eV/atom. For the size of the total moment, the calculation gives 1.315 μB per formula unit.

CsCd4Sn3 after structural relaxation. Source: the Alexandria database, functional PBE.

It has space group P4/mmm (No. 123), with a = 5.1714 Å, b = 5.1714 Å, c = 9.1538 Å, α = 90.00°, β = 90.00° and γ = 90.00°. The asymmetric unit holds Cs at (0.0000, 0.0000, 0.0000), Cd at (0.0000, 0.5000, 0.3231), Sn at (0.0000, 0.0000, 0.5000) and Sn at (0.5000, 0.5000, 0.1600).

The value obtained for the electronic total energy is -2.1604 eV/atom. Its energy of formation is -0.0951 eV/atom. For the size of the total moment, the calculation gives 0.000 μB per formula unit.

NaGaSiSe4 after structural relaxation. Source: the Alexandria database, functional PBE.

It has space group Cmcm (No. 63), with a = 8.2156 Å, b = 12.1859 Å, c = 7.5651 Å, α = 90.00°, β = 90.00° and γ = 90.00°. The asymmetric unit holds Na at (0.0000, 0.0000, 0.0000), Ga at (0.0000, 0.3700, 0.2500), Si at (0.0000, 0.3681, 0.7500), Se at (0.0000, 0.2508, 0.5114) and Se at (0.2145, 0.4904, 0.7500).

The value obtained for the electronic total energy is -4.0289 eV/atom. For the formation energy from raw total energies, the calculation gives -4.50 eV per formula unit. For the size of the total moment, the calculation gives 0.000 μB per formula unit.